Version 1
Entry from Alexandria: a relaxed structure of Tb4CuTe (PBE-GGA).

CIF file:
```
data_Tb4CuTe
_symmetry_space_group_name_H-M 'P 1'
_symmetry_Int_Tables_number 1
_cell_length_a 8.3985
_cell_length_b 3.9273
_cell_length_c 19.4668
_cell_angle_alpha 90.00
_cell_angle_beta 90.00
_cell_angle_gamma 90.00
loop_
_symmetry_equiv_pos_as_xyz
'x,y,z'
loop_
_atom_site_label
_atom_site_type_symbol
_atom_site_fract_x
_atom_site_fract_y
_atom_site_fract_z
_atom_site_occupancy
Tb1 Tb 0.0082 0.2500 0.2181 1
Tb2 Tb 0.0296 0.2500 0.9298 1
Tb3 Tb 0.1220 0.2500 0.4442 1
Tb4 Tb 0.1668 0.2500 0.6473 1
Tb5 Tb 0.3332 0.7500 0.1473 1
Tb6 Tb 0.3780 0.7500 0.9442 1
Tb7 Tb 0.4704 0.7500 0.4298 1
Tb8 Tb 0.4918 0.7500 0.7181 1
Tb9 Tb 0.5082 0.2500 0.2819 1
Tb10 Tb 0.5296 0.2500 0.5702 1
Tb11 Tb 0.6220 0.2500 0.0558 1
Tb12 Tb 0.6668 0.2500 0.8527 1
Tb13 Tb 0.8332 0.7500 0.3527 1
Tb14 Tb 0.8780 0.7500 0.5558 1
Tb15 Tb 0.9704 0.7500 0.0702 1
Tb16 Tb 0.9918 0.7500 0.7819 1
Cu1 Cu 0.2371 0.2500 0.0493 1
Cu2 Cu 0.2629 0.7500 0.5493 1
Cu3 Cu 0.7371 0.2500 0.4507 1
Cu4 Cu 0.7629 0.7500 0.9507 1
Te1 Te 0.2107 0.7500 0.3119 1
Te2 Te 0.2893 0.2500 0.8119 1
Te3 Te 0.7107 0.7500 0.1881 1
Te4 Te 0.7893 0.2500 0.6881 1
```

## Properties
**Fermi-level density of states**: 1.12 states/eV per atom



Version 2
Entry from Alexandria: a relaxed structure of Tb4CuTe (PBE-GGA).

CIF file:
```
data_Tb4CuTe
_symmetry_space_group_name_H-M 'P 1'
_symmetry_Int_Tables_number 1
_cell_length_a 6.1654
_cell_length_b 6.4875
_cell_length_c 8.2145
_cell_angle_alpha 90.00
_cell_angle_beta 91.17
_cell_angle_gamma 90.00
loop_
_symmetry_equiv_pos_as_xyz
'x,y,z'
loop_
_atom_site_label
_atom_site_type_symbol
_atom_site_fract_x
_atom_site_fract_y
_atom_site_fract_z
_atom_site_occupancy
Tb1 Tb 0.1028 0.2500 0.1267 1
Tb2 Tb 0.1442 0.7500 0.4191 1
Tb3 Tb 0.3792 0.0003 0.8051 1
Tb4 Tb 0.3792 0.4997 0.8051 1
Tb5 Tb 0.6208 0.9997 0.1949 1
Tb6 Tb 0.6208 0.5003 0.1949 1
Tb7 Tb 0.8558 0.2500 0.5809 1
Tb8 Tb 0.8972 0.7500 0.8733 1
Cu1 Cu 0.2548 0.7500 0.0888 1
Cu2 Cu 0.7452 0.2500 0.9112 1
Te1 Te 0.3371 0.2500 0.4650 1
Te2 Te 0.6629 0.7500 0.5350 1
```

## Properties
**Fermi-level density of states**: 1.15 states/eV per atom



Tell me which of them is the least stable. Sure, it is version 2.



Version 1
Entry from Alexandria: a relaxed structure of TbTh2Cu (PBE-GGA).

CIF file:
```
data_TbTh2Cu
_symmetry_space_group_name_H-M 'P 1'
_symmetry_Int_Tables_number 1
_cell_length_a 3.5696
_cell_length_b 3.5696
_cell_length_c 8.7125
_cell_angle_alpha 90.00
_cell_angle_beta 90.00
_cell_angle_gamma 90.00
loop_
_symmetry_equiv_pos_as_xyz
'x,y,z'
loop_
_atom_site_label
_atom_site_type_symbol
_atom_site_fract_x
_atom_site_fract_y
_atom_site_fract_z
_atom_site_occupancy
Tb1 Tb 0.0000 0.0000 0.0000 1
Th1 Th 0.5000 0.5000 0.2941 1
Th2 Th 0.5000 0.5000 0.7059 1
Cu1 Cu 0.0000 0.0000 0.5000 1
```

## Properties
**Fermi-level density of states**: 1.10 states/eV per atom



Version 2
Entry from Alexandria: a relaxed structure of TbTh2Cu (PBE-GGA).

CIF file:
```
data_TbTh2Cu
_symmetry_space_group_name_H-M 'P 1'
_symmetry_Int_Tables_number 1
_cell_length_a 10.2334
_cell_length_b 10.2334
_cell_length_c 10.2334
_cell_angle_alpha 20.41
_cell_angle_beta 20.41
_cell_angle_gamma 20.41
loop_
_symmetry_equiv_pos_as_xyz
'x,y,z'
loop_
_atom_site_label
_atom_site_type_symbol
_atom_site_fract_x
_atom_site_fract_y
_atom_site_fract_z
_atom_site_occupancy
Tb1 Tb 0.0000 0.0000 0.0000 1
Th1 Th 0.2370 0.2370 0.2370 1
Th2 Th 0.7630 0.7630 0.7630 1
Cu1 Cu 0.5000 0.5000 0.5000 1
```

## Properties
**Fermi-level density of states**: 1.16 states/eV per atom



Tell me which of them is the least stable. Sure, it is version 2.



Version 1
Entry from Alexandria: a relaxed structure of Tb4Tl3Cu (PBE-GGA).

CIF file:
```
data_Tb4Tl3Cu
_symmetry_space_group_name_H-M 'P 1'
_symmetry_Int_Tables_number 1
_cell_length_a 3.8574
_cell_length_b 4.8096
_cell_length_c 11.7114
_cell_angle_alpha 90.00
_cell_angle_beta 90.00
_cell_angle_gamma 90.00
loop_
_symmetry_equiv_pos_as_xyz
'x,y,z'
loop_
_atom_site_label
_atom_site_type_symbol
_atom_site_fract_x
_atom_site_fract_y
_atom_site_fract_z
_atom_site_occupancy
Tb1 Tb 0.0000 0.0000 0.0000 1
Tb2 Tb 0.0000 0.5000 0.2704 1
Tb3 Tb 0.5000 0.0000 0.4580 1
Tb4 Tb 0.5000 0.5000 0.7792 1
Tl1 Tl 0.0000 0.0000 0.7163 1
Tl2 Tl 0.0000 0.5000 0.5395 1
Tl3 Tl 0.5000 0.5000 0.0489 1
Cu1 Cu 0.5000 0.0000 0.2053 1
```

## Properties
**Fermi-level density of states**: 0.90 states/eV per atom



Version 2
Entry from Alexandria: a relaxed structure of Tb4Tl3Cu (PBE-GGA).

CIF file:
```
data_Tb4Tl3Cu
_symmetry_space_group_name_H-M 'P 1'
_symmetry_Int_Tables_number 1
_cell_length_a 3.5915
_cell_length_b 3.5915
_cell_length_c 16.1611
_cell_angle_alpha 90.00
_cell_angle_beta 90.00
_cell_angle_gamma 90.00
loop_
_symmetry_equiv_pos_as_xyz
'x,y,z'
loop_
_atom_site_label
_atom_site_type_symbol
_atom_site_fract_x
_atom_site_fract_y
_atom_site_fract_z
_atom_site_occupancy
Tb1 Tb 0.0000 0.0000 0.1045 1
Tb2 Tb 0.0000 0.0000 0.3682 1
Tb3 Tb 0.0000 0.0000 0.6318 1
Tb4 Tb 0.0000 0.0000 0.8955 1
Tl1 Tl 0.5000 0.5000 0.2363 1
Tl2 Tl 0.5000 0.5000 0.5000 1
Tl3 Tl 0.5000 0.5000 0.7637 1
Cu1 Cu 0.5000 0.5000 0.0000 1
```

## Properties
**Fermi-level density of states**: 0.78 states/eV per atom



Tell me which of them is the least stable. Sure, it is version 1.



Version 1
Entry from Alexandria: a relaxed structure of Tb2TmCu (PBE-GGA).

CIF file:
```
data_Tb2TmCu
_symmetry_space_group_name_H-M 'P 1'
_symmetry_Int_Tables_number 1
_cell_length_a 3.4996
_cell_length_b 3.4996
_cell_length_c 8.5863
_cell_angle_alpha 90.00
_cell_angle_beta 90.00
_cell_angle_gamma 90.00
loop_
_symmetry_equiv_pos_as_xyz
'x,y,z'
loop_
_atom_site_label
_atom_site_type_symbol
_atom_site_fract_x
_atom_site_fract_y
_atom_site_fract_z
_atom_site_occupancy
Tb1 Tb 0.0000 0.0000 0.2013 1
Tb2 Tb 0.0000 0.0000 0.7987 1
Tm1 Tm 0.5000 0.5000 0.5000 1
Cu1 Cu 0.5000 0.5000 0.0000 1
```

## Properties
**Fermi-level density of states**: 1.34 states/eV per atom



Version 2
Entry from Alexandria: a relaxed structure of Tb2TmCu (PBE-GGA).

CIF file:
```
data_Tb2TmCu
_symmetry_space_group_name_H-M 'P 1'
_symmetry_Int_Tables_number 1
_cell_length_a 6.8304
_cell_length_b 9.6501
_cell_length_c 6.4646
_cell_angle_alpha 90.00
_cell_angle_beta 90.00
_cell_angle_gamma 90.00
loop_
_symmetry_equiv_pos_as_xyz
'x,y,z'
loop_
_atom_site_label
_atom_site_type_symbol
_atom_site_fract_x
_atom_site_fract_y
_atom_site_fract_z
_atom_site_occupancy
Tb1 Tb 0.1944 0.0595 0.1871 1
Tb2 Tb 0.1944 0.4405 0.1871 1
Tb3 Tb 0.3056 0.5595 0.6871 1
Tb4 Tb 0.3056 0.9405 0.6871 1
Tb5 Tb 0.6944 0.0595 0.3129 1
Tb6 Tb 0.6944 0.4405 0.3129 1
Tb7 Tb 0.8056 0.5595 0.8129 1
Tb8 Tb 0.8056 0.9405 0.8129 1
Tm1 Tm 0.0225 0.2500 0.6317 1
Tm2 Tm 0.4775 0.7500 0.1317 1
Tm3 Tm 0.5225 0.2500 0.8683 1
Tm4 Tm 0.9775 0.7500 0.3683 1
Cu1 Cu 0.0938 0.7500 0.9545 1
Cu2 Cu 0.4062 0.2500 0.4545 1
Cu3 Cu 0.5938 0.7500 0.5455 1
Cu4 Cu 0.9062 0.2500 0.0455 1
```

## Properties
**Fermi-level density of states**: 1.01 states/eV per atom



Tell me which of them is the least stable. Sure, it is version 1.



Version 1
Entry from Alexandria: a relaxed structure of Tb2TmCu (PBE-GGA).

CIF file:
```
data_Tb2TmCu
_symmetry_space_group_name_H-M 'P 1'
_symmetry_Int_Tables_number 1
_cell_length_a 10.1192
_cell_length_b 10.1192
_cell_length_c 10.1192
_cell_angle_alpha 20.24
_cell_angle_beta 20.24
_cell_angle_gamma 20.24
loop_
_symmetry_equiv_pos_as_xyz
'x,y,z'
loop_
_atom_site_label
_atom_site_type_symbol
_atom_site_fract_x
_atom_site_fract_y
_atom_site_fract_z
_atom_site_occupancy
Tb1 Tb 0.2364 0.2364 0.2364 1
Tb2 Tb 0.7636 0.7636 0.7636 1
Tm1 Tm 0.0000 0.0000 0.0000 1
Cu1 Cu 0.5000 0.5000 0.5000 1
```

## Properties
**Fermi-level density of states**: 1.09 states/eV per atom



Version 2
Entry from Alexandria: a relaxed structure of Tb2TmCu (PBE-GGA).

CIF file:
```
data_Tb2TmCu
_symmetry_space_group_name_H-M 'P 1'
_symmetry_Int_Tables_number 1
_cell_length_a 6.2367
_cell_length_b 6.2367
_cell_length_c 7.5657
_cell_angle_alpha 90.00
_cell_angle_beta 90.00
_cell_angle_gamma 133.80
loop_
_symmetry_equiv_pos_as_xyz
'x,y,z'
loop_
_atom_site_label
_atom_site_type_symbol
_atom_site_fract_x
_atom_site_fract_y
_atom_site_fract_z
_atom_site_occupancy
Tb1 Tb 0.1468 0.8532 0.5316 1
Tb2 Tb 0.1468 0.8532 0.9684 1
Tb3 Tb 0.8532 0.1468 0.0316 1
Tb4 Tb 0.8532 0.1468 0.4684 1
Tm1 Tm 0.4562 0.5438 0.7500 1
Tm2 Tm 0.5438 0.4562 0.2500 1
Cu1 Cu 0.2996 0.7004 0.2500 1
Cu2 Cu 0.7004 0.2996 0.7500 1
```

## Properties
**Fermi-level density of states**: 1.15 states/eV per atom



Tell me which of them is the least stable. Sure, it is version 1.



Version 1
Entry from Alexandria: a relaxed structure of Tb3TmCu2 (PBE-GGA).

CIF file:
```
data_Tb3TmCu2
_symmetry_space_group_name_H-M 'P 1'
_symmetry_Int_Tables_number 1
_cell_length_a 4.9036
_cell_length_b 8.7074
_cell_length_c 6.8468
_cell_angle_alpha 90.00
_cell_angle_beta 90.00
_cell_angle_gamma 90.00
loop_
_symmetry_equiv_pos_as_xyz
'x,y,z'
loop_
_atom_site_label
_atom_site_type_symbol
_atom_site_fract_x
_atom_site_fract_y
_atom_site_fract_z
_atom_site_occupancy
Tb1 Tb 0.0000 0.0752 0.0000 1
Tb2 Tb 0.0000 0.3376 0.3656 1
Tb3 Tb 0.0000 0.6624 0.8656 1
Tb4 Tb 0.0000 0.9248 0.5000 1
Tb5 Tb 0.5000 0.1661 0.6568 1
Tb6 Tb 0.5000 0.8339 0.1568 1
Tm1 Tm 0.5000 0.4257 0.0250 1
Tm2 Tm 0.5000 0.5743 0.5250 1
Cu1 Cu 0.0000 0.3480 0.7736 1
Cu2 Cu 0.0000 0.6520 0.2736 1
Cu3 Cu 0.5000 0.1538 0.2494 1
Cu4 Cu 0.5000 0.8462 0.7494 1
```

## Properties
**Fermi-level density of states**: 1.02 states/eV per atom



Version 2
Entry from Alexandria: a relaxed structure of Tb3TmCu2 (PBE-GGA).

CIF file:
```
data_Tb3TmCu2
_symmetry_space_group_name_H-M 'P 1'
_symmetry_Int_Tables_number 1
_cell_length_a 8.3271
_cell_length_b 8.3271
_cell_length_c 8.3271
_cell_angle_alpha 132.02
_cell_angle_beta 72.66
_cell_angle_gamma 128.95
loop_
_symmetry_equiv_pos_as_xyz
'x,y,z'
loop_
_atom_site_label
_atom_site_type_symbol
_atom_site_fract_x
_atom_site_fract_y
_atom_site_fract_z
_atom_site_occupancy
Tb1 Tb 0.0173 0.7500 0.2673 1
Tb2 Tb 0.2500 0.2500 0.0000 1
Tb3 Tb 0.4827 0.7500 0.7327 1
Tb4 Tb 0.5173 0.2500 0.2673 1
Tb5 Tb 0.7500 0.7500 0.0000 1
Tb6 Tb 0.9827 0.2500 0.7327 1
Tm1 Tm 0.0000 0.5000 0.5000 1
Tm2 Tm 0.5000 0.0000 0.5000 1
Cu1 Cu 0.1406 0.2084 0.3490 1
Cu2 Cu 0.3594 0.7084 0.0677 1
Cu3 Cu 0.6406 0.2916 0.9323 1
Cu4 Cu 0.8594 0.7916 0.6510 1
```

## Properties
**Fermi-level density of states**: 1.19 states/eV per atom



Tell me which of them is the least stable. Sure, it is version 2.



Version 1
Entry from Alexandria: a relaxed structure of TbTmCu4 (PBE-GGA).

CIF file:
```
data_TbTmCu4
_symmetry_space_group_name_H-M 'P 1'
_symmetry_Int_Tables_number 1
_cell_length_a 5.2421
_cell_length_b 5.2421
_cell_length_c 5.2421
_cell_angle_alpha 60.00
_cell_angle_beta 60.00
_cell_angle_gamma 60.00
loop_
_symmetry_equiv_pos_as_xyz
'x,y,z'
loop_
_atom_site_label
_atom_site_type_symbol
_atom_site_fract_x
_atom_site_fract_y
_atom_site_fract_z
_atom_site_occupancy
Tb1 Tb 0.0000 0.0000 0.0000 1
Tm1 Tm 0.2500 0.2500 0.2500 1
Cu1 Cu 0.1262 0.6246 0.6246 1
Cu2 Cu 0.6246 0.1262 0.6246 1
Cu3 Cu 0.6246 0.6246 0.1262 1
Cu4 Cu 0.6246 0.6246 0.6246 1
```

## Properties
**Fermi-level density of states**: 0.60 states/eV per atom



Version 2
Entry from Alexandria: a relaxed structure of TbTmCu4 (PBE-GGA).

CIF file:
```
data_TbTmCu4
_symmetry_space_group_name_H-M 'P 1'
_symmetry_Int_Tables_number 1
_cell_length_a 5.4297
_cell_length_b 5.4297
_cell_length_c 5.4297
_cell_angle_alpha 133.62
_cell_angle_beta 102.56
_cell_angle_gamma 95.32
loop_
_symmetry_equiv_pos_as_xyz
'x,y,z'
loop_
_atom_site_label
_atom_site_type_symbol
_atom_site_fract_x
_atom_site_fract_y
_atom_site_fract_z
_atom_site_occupancy
Tb1 Tb 0.0000 0.0000 0.0000 1
Tm1 Tm 0.5893 0.0893 0.5000 1
Cu1 Cu 0.0121 0.7109 0.3011 1
Cu2 Cu 0.1851 0.3819 0.8031 1
Cu3 Cu 0.4098 0.7109 0.6989 1
Cu4 Cu 0.5788 0.3819 0.1969 1
```

## Properties
**Fermi-level density of states**: 0.47 states/eV per atom



Tell me which of them is the least stable. Sure, it is version 1.



Version 1
Entry from Alexandria: a relaxed structure of TbYCu4 (PBE-GGA).

CIF file:
```
data_TbYCu4
_symmetry_space_group_name_H-M 'P 1'
_symmetry_Int_Tables_number 1
_cell_length_a 5.2742
_cell_length_b 5.2742
_cell_length_c 5.2742
_cell_angle_alpha 60.00
_cell_angle_beta 60.00
_cell_angle_gamma 60.00
loop_
_symmetry_equiv_pos_as_xyz
'x,y,z'
loop_
_atom_site_label
_atom_site_type_symbol
_atom_site_fract_x
_atom_site_fract_y
_atom_site_fract_z
_atom_site_occupancy
Tb1 Tb 0.0000 0.0000 0.0000 1
Y1 Y 0.2500 0.2500 0.2500 1
Cu1 Cu 0.1253 0.6249 0.6249 1
Cu2 Cu 0.6249 0.1253 0.6249 1
Cu3 Cu 0.6249 0.6249 0.1253 1
Cu4 Cu 0.6249 0.6249 0.6249 1
```

## Properties
**Fermi-level density of states**: 0.50 states/eV per atom



Version 2
Entry from Alexandria: a relaxed structure of TbYCu4 (PBE-GGA).

CIF file:
```
data_TbYCu4
_symmetry_space_group_name_H-M 'P 1'
_symmetry_Int_Tables_number 1
_cell_length_a 5.4686
_cell_length_b 5.4686
_cell_length_c 5.4686
_cell_angle_alpha 133.72
_cell_angle_beta 102.12
_cell_angle_gamma 95.67
loop_
_symmetry_equiv_pos_as_xyz
'x,y,z'
loop_
_atom_site_label
_atom_site_type_symbol
_atom_site_fract_x
_atom_site_fract_y
_atom_site_fract_z
_atom_site_occupancy
Tb1 Tb 0.0000 0.0000 0.0000 1
Y1 Y 0.5873 0.0873 0.5000 1
Cu1 Cu 0.0107 0.7085 0.3022 1
Cu2 Cu 0.1813 0.3790 0.8023 1
Cu3 Cu 0.4063 0.7085 0.6978 1
Cu4 Cu 0.5767 0.3790 0.1977 1
```

## Properties
**Fermi-level density of states**: 0.50 states/eV per atom



Tell me which of them is the least stable. Sure, it is version 1.